Record 1
A geometry-optimized PaVMo2 structure. Source: Alexandria, functional PBE.

Lattice parameters (Å, degrees): 4.6329 4.6329 3.2766 90.00 90.00 90.00
Space group P4/mmm (No. 123)
Inequivalent atoms, fractional coordinates:
Pa: 0.0000 0.0000 0.0000 [1 per cell]
V: 0.5000 0.5000 0.0000 [1 per cell]
Mo: 0.0000 0.5000 0.5000 [2 per cell]

Summary:
**Energy above the lowest structure with this stoichiometry**: 141 meV/atom



Record 2
A geometry-optimized Pr3Tm structure. Source: Alexandria, functional PBE.

Lattice parameters (Å, degrees): 8.2273 8.2273 8.2273 90.00 90.00 90.00
Space group Fm-3m (No. 225)
Inequivalent atoms, fractional coordinates:
Pr: 0.0000 0.0000 0.0000 [4 per cell]
Pr: 0.2500 0.2500 0.2500 [8 per cell]
Tm: 0.0000 0.0000 0.5000 [4 per cell]

Summary:
**Energy above the lowest structure with this stoichiometry**: 114 meV/atom



Record 3
A geometry-optimized Mg2BiSb structure. Source: Alexandria, functional PBE.

Lattice parameters (Å, degrees): 4.9308 4.9308 4.2339 90.00 90.00 90.00
Space group P4/mmm (No. 123)
Inequivalent atoms, fractional coordinates:
Mg: 0.0000 0.5000 0.0000 [2 per cell]
Bi: 0.0000 0.0000 0.5000 [1 per cell]
Sb: 0.5000 0.5000 0.5000 [1 per cell]

Summary:
**Raw formation energy**: -0.103 eV/atom
**Energy above the lowest structure with this stoichiometry**: 64 meV/atom



Record 4
A geometry-optimized Tl2SnI5 structure. Source: Alexandria, functional PBE.

Lattice parameters (Å, degrees): 6.0345 14.6075 17.2857 90.00 90.00 90.00
Space group Fmmm (No. 69)
Inequivalent atoms, fractional coordinates:
Tl: 0.0000 0.0000 0.1920 [8 per cell]
Sn: 0.0000 0.0000 0.5000 [4 per cell]
I: 0.0000 0.0000 0.0000 [4 per cell]
I: 0.0000 0.1382 0.3690 [16 per cell]

Summary:
**Raw formation energy**: -0.435 eV/atom



Record 5
A geometry-optimized PRh structure. Source: Alexandria, functional PBE.

Lattice parameters (Å, degrees): 3.5694 12.3401 5.0842 90.00 90.00 90.00
Space group Pmmn (No. 59, origin choice 2)
Inequivalent atoms, fractional coordinates:
P: 0.2500 0.1080 0.1876 [4 per cell]
P: 0.2500 0.7500 0.2533 [2 per cell]
Rh: 0.2500 0.2500 0.4743 [2 per cell]
Rh: 0.2500 0.5823 0.0792 [4 per cell]



Record 6
A geometry-optimized Tb8Bi2Ir3 structure. Source: Alexandria, functional PBE.

Lattice parameters (Å, degrees): 16.1201 8.0575 6.8970 90.00 106.12 90.00
Space group C2/m (No. 12)
Inequivalent atoms, fractional coordinates:
Tb: 0.0901 0.0000 0.3814 [4 per cell]
Tb: 0.0967 0.5000 0.4028 [4 per cell]
Tb: 0.1029 0.2609 0.8945 [8 per cell]
Bi: 0.2423 0.0000 0.1677 [4 per cell]
Ir: 0.0000 0.2461 0.5000 [4 per cell]
Ir: 0.0000 0.5000 0.0000 [2 per cell]

Summary:
**Energy above the lowest structure with this stoichiometry**: 39 meV/atom



Record 7
A geometry-optimized ScAs2Pd4 structure. Source: Alexandria, functional PBE.

Lattice parameters (Å, degrees): 4.0268 4.0268 7.3410 90.00 90.00 90.00
Space group P4/mmm (No. 123)
Inequivalent atoms, fractional coordinates:
Sc: 0.0000 0.0000 0.0000 [1 per cell]
As: 0.0000 0.0000 0.5000 [1 per cell]
As: 0.5000 0.5000 0.0000 [1 per cell]
Pd: 0.0000 0.5000 0.2909 [4 per cell]



Record 8
A geometry-optimized LiAc4Pb3 structure. Source: Alexandria, functional PBE.

Lattice parameters (Å, degrees): 4.7855 4.9068 12.5428 90.00 90.00 90.00
Space group Pmm2 (No. 25)
Inequivalent atoms, fractional coordinates:
Li: 0.0000 0.0000 0.0000 [1 per cell]
Ac: 0.0000 0.0000 0.6990 [1 per cell]
Ac: 0.0000 0.5000 0.1946 [1 per cell]
Ac: 0.5000 0.0000 0.4194 [1 per cell]
Ac: 0.5000 0.5000 0.9223 [1 per cell]
Pb: 0.0000 0.5000 0.4681 [1 per cell]
Pb: 0.5000 0.0000 0.1331 [1 per cell]
Pb: 0.5000 0.5000 0.6484 [1 per cell]



no.,total energy (Ha/atom)
1,-0.3645
2,-0.1681
3,-0.1066
4,-0.0917
5,-0.2496
6,-0.2242
7,-0.2115
8,-0.1501